(1)
Here is an optimized crystal structure of La2Ni3Sn5 from the Alexandria database. Energies are from PBE-GGA.

Calculated values
* formation energy from the elements: -5.18 eV per formula unit
* energy above the lowest structure with this stoichiometry: 40 meV/atom

Lattice parameters (Å, degrees): 13.5000 13.5000 7.2675 90.00 90.00 160.77
With the nearest neighbours (Å) after each atom.
Fractional positions:
La  0.0264  0.9736  0.5000  3 Ni 2.83-3.12
La  0.3278  0.6722  0.4895  9 Sn 3.23-3.60, 4 Ni 3.32-3.61
La  0.6722  0.3278  0.9895  9 Sn 3.23-3.60, 4 Ni 3.32-3.61
La  0.9736  0.0264  0.0000  3 Ni 2.83-3.12
Ni  0.1067  0.8933  0.7564  4 Sn 2.63-2.77, 1 La 2.83
Ni  0.2779  0.7221  0.9726  7 Sn 2.65-2.87
Ni  0.4488  0.5512  0.7170  5 Sn 2.61-2.83
Ni  0.5512  0.4488  0.2170  5 Sn 2.61-2.83
Ni  0.7221  0.2779  0.4726  7 Sn 2.65-2.87
Ni  0.8933  0.1067  0.2564  4 Sn 2.63-2.77, 1 La 2.83
Sn  0.0933  0.9067  0.1227  3 Ni 2.61-2.69
Sn  0.2037  0.7963  0.6854  4 Ni 2.63-2.87
Sn  0.2133  0.7867  0.2703  3 Ni 2.70-2.76
Sn  0.3773  0.6227  0.9961  2 Ni 2.65-2.78
Sn  0.4500  0.5500  0.3350  4 Ni 2.77-2.83
Sn  0.5500  0.4500  0.8350  4 Ni 2.77-2.83
Sn  0.6227  0.3773  0.4961  2 Ni 2.65-2.78
Sn  0.7867  0.2133  0.7703  3 Ni 2.70-2.76
Sn  0.7963  0.2037  0.1854  4 Ni 2.63-2.87
Sn  0.9067  0.0933  0.6227  3 Ni 2.61-2.69

---

(2)
Here is an optimized crystal structure of La3Ni3Sn from the Alexandria database. Energies are from PBE-GGA.

Calculated values
* formation energy from the elements: -1.66 eV per formula unit
* energy above the lowest structure with this stoichiometry: 221 meV/atom

Lattice parameters (Å, degrees): 8.8057 8.8057 5.5478 90.00 90.00 120.00
With the nearest neighbours (Å) after each atom.
Fractional positions:
La  0.0535  0.3576  0.2500  5 Ni 2.78-3.04
La  0.3041  0.9465  0.2500  5 Ni 2.78-3.04
La  0.3576  0.3041  0.7500  5 Ni 2.78-3.04
La  0.6424  0.6959  0.2500  5 Ni 2.78-3.04
La  0.6959  0.0535  0.7500  5 Ni 2.78-3.04
La  0.9465  0.6424  0.7500  5 Ni 2.78-3.04
Ni  0.0491  0.3691  0.7500  1 Sn 2.56, 2 La 2.78
Ni  0.3200  0.9509  0.7500  1 Sn 2.56, 2 La 2.78
Ni  0.3691  0.3200  0.2500  1 Sn 2.56, 2 La 2.78
Ni  0.6309  0.6800  0.7500  1 Sn 2.56, 2 La 2.78
Ni  0.6800  0.0491  0.2500  1 Sn 2.56, 2 La 2.78
Ni  0.9509  0.6309  0.2500  1 Sn 2.56, 2 La 2.78
Sn  0.3333  0.6667  0.7500  3 Ni 2.56
Sn  0.6667  0.3333  0.2500  3 Ni 2.56

---

(3)
Here is an optimized crystal structure of La3Ni2Sn4 from the Alexandria database. Energies are from PBE-GGA.

Calculated values
* formation energy from the elements: -6.03 eV per formula unit
* energy above the lowest structure with this stoichiometry: 0 meV/atom

Lattice parameters (Å, degrees): 6.2708 6.2708 8.8403 102.09 102.09 42.86
With the nearest neighbours (Å) after each atom.
Fractional positions:
La  0.0000  0.0000  0.0000  8 Sn 3.31-3.67
La  0.3764  0.3764  0.3104  3 Ni 2.95-3.25
La  0.6236  0.6236  0.6896  3 Ni 2.95-3.25
Ni  0.2961  0.2961  0.6036  4 Sn 2.61-2.72
Ni  0.7039  0.7039  0.3964  4 Sn 2.61-2.72
Sn  0.0958  0.0958  0.3919  3 Ni 2.61-2.65
Sn  0.2914  0.2914  0.9097  1 Ni 2.72
Sn  0.7086  0.7086  0.0903  1 Ni 2.72
Sn  0.9042  0.9042  0.6081  3 Ni 2.61-2.65

---

(4)
Here is an optimized crystal structure of La3Ni8Sn from the Alexandria database. Energies are from PBE-GGA.

Calculated values
* formation energy from the elements: -3.81 eV per formula unit

Lattice parameters (Å, degrees): 8.9338 8.9338 8.9338 33.52 33.52 33.52
With the nearest neighbours (Å) after each atom.
Fractional positions:
La  0.0000  0.0000  0.0000  12 Ni 3.02-3.06, 4 La 3.20
La  0.1267  0.1267  0.1267  12 Ni 2.95-3.02, 3 Sn 3.11, 1 La 3.20
La  0.6198  0.6198  0.6198  12 Ni 2.98-3.18, 1 Sn 3.13, 3 La 3.20
Ni  0.0606  0.0606  0.5611  6 Ni 2.53-2.62
Ni  0.0606  0.5611  0.0606  6 Ni 2.53-2.62
Ni  0.0661  0.5630  0.5630  6 Ni 2.56-2.60
Ni  0.3126  0.3126  0.3126  6 Ni 2.60-2.62
Ni  0.5611  0.0606  0.0606  6 Ni 2.53-2.62
Ni  0.5630  0.0661  0.5630  6 Ni 2.56-2.60
Ni  0.5630  0.5630  0.0661  6 Ni 2.56-2.60
Ni  0.8132  0.8132  0.8132  6 Ni 2.53-2.57
Sn  0.4958  0.4958  0.4958  12 Ni 2.90-3.05, 4 La 3.11-3.13

---

| no. | Fermi-level density of states (states/eV per cell) |
| --- | --- |
| 1 | 5.85 |
| 2 | 15.05 |
| 3 | 7.08 |
| 4 | 9.79 |